# 1
{
  "formula": "AcPmZnAs",
  "functional": "PBE-GGA",
  "state": "optimized geometry",
  "lattice": [[7.5437, 0.0000, 0.0000], [0.0000, 7.5437, 0.0000], [0.0000, 0.0000, 7.5437]],
  "species": ["Ac", "Ac", "Ac", "Ac", "Pm", "Pm", "Pm", "Pm", "Zn", "Zn", "Zn", "Zn", "As", "As", "As", "As"],
  "fractional_positions": [[0.0000, 0.0000, 0.0000], [0.0000, 0.5000, 0.5000], [0.5000, 0.0000, 0.5000], [0.5000, 0.5000, 0.0000], [0.0000, 0.0000, 0.5000], [0.0000, 0.5000, 0.0000], [0.5000, 0.0000, 0.0000], [0.5000, 0.5000, 0.5000], [0.2500, 0.2500, 0.7500], [0.2500, 0.7500, 0.2500], [0.7500, 0.2500, 0.2500], [0.7500, 0.7500, 0.7500], [0.2500, 0.2500, 0.2500], [0.2500, 0.7500, 0.7500], [0.7500, 0.2500, 0.7500], [0.7500, 0.7500, 0.2500]],
  "e_tot_ev_per_cell": -68.37,
  "formation_energy_mev_per_atom": -577,
  "space_group": "F-43m (216)"
}

=====

# 2
{
  "formula": "Ac2PrAs",
  "functional": "PBE-GGA",
  "state": "optimized geometry",
  "lattice": [[4.2004, 0.0000, 0.0000], [-2.1002, 3.6376, 0.0000], [0.0000, 0.0000, 30.9111]],
  "species": ["Ac", "Ac", "Ac", "Ac", "Ac", "Ac", "Pr", "Pr", "Pr", "As", "As", "As"],
  "fractional_positions": [[0.0000, 0.0000, 0.2298], [0.0000, 0.0000, 0.7702], [0.3333, 0.6667, 0.4369], [0.3333, 0.6667, 0.8964], [0.6667, 0.3333, 0.1036], [0.6667, 0.3333, 0.5631], [0.0000, 0.0000, 0.0000], [0.3333, 0.6667, 0.6667], [0.6667, 0.3333, 0.3333], [0.0000, 0.0000, 0.5000], [0.3333, 0.6667, 0.1667], [0.6667, 0.3333, 0.8333]],
  "e_tot_ev_per_cell": -59.31,
  "formation_energy_mev_per_atom": -531,
  "space_group": "R-3m (166)"
}

=====

# 3
{
  "formula": "AcPr2As",
  "functional": "PBE-GGA",
  "state": "optimized geometry",
  "lattice": [[3.9109, 0.0000, 0.0000], [0.0000, 3.9109, 0.0000], [0.0000, 0.0000, 8.3006]],
  "species": ["Ac", "Pr", "Pr", "As"],
  "fractional_positions": [[0.0000, 0.0000, 0.0000], [0.5000, 0.5000, 0.3083], [0.5000, 0.5000, 0.6917], [0.0000, 0.0000, 0.5000]],
  "e_tot_ev_per_cell": -20.52,
  "formation_energy_mev_per_atom": -551,
  "space_group": "P4/mmm (123)"
}

=====

# 4
{
  "formula": "AcPrAs4",
  "functional": "PBE-GGA",
  "state": "optimized geometry",
  "lattice": [[0.0000, 4.1571, 4.1571], [4.1571, 0.0000, 4.1571], [4.1571, 4.1571, 0.0000]],
  "species": ["Ac", "Pr", "As", "As", "As", "As"],
  "fractional_positions": [[0.0000, 0.0000, 0.0000], [0.7500, 0.7500, 0.7500], [0.3757, 0.3757, 0.3757], [0.3757, 0.3757, 0.8728], [0.3757, 0.8728, 0.3757], [0.8728, 0.3757, 0.3757]],
  "e_tot_ev_per_cell": -30.41,
  "formation_energy_mev_per_atom": -488,
  "space_group": "F-43m (216)"
}

=====

# 5
{
  "formula": "AcPr2As",
  "functional": "PBE-GGA",
  "state": "optimized geometry",
  "lattice": [[4.1176, 0.0000, 0.0000], [-2.0588, 3.5659, 0.0000], [0.0000, 0.0000, 29.4308]],
  "species": ["Ac", "Ac", "Ac", "Pr", "Pr", "Pr", "Pr", "Pr", "Pr", "As", "As", "As"],
  "fractional_positions": [[0.0000, 0.0000, 0.0000], [0.3333, 0.6667, 0.6667], [0.6667, 0.3333, 0.3333], [0.0000, 0.0000, 0.2263], [0.0000, 0.0000, 0.4405], [0.3333, 0.6667, 0.1072], [0.3333, 0.6667, 0.8930], [0.6667, 0.3333, 0.5597], [0.6667, 0.3333, 0.7738], [0.0000, 0.0000, 0.8338], [0.3333, 0.6667, 0.5004], [0.6667, 0.3333, 0.1671]],
  "e_tot_ev_per_cell": -62.81,
  "formation_energy_mev_per_atom": -655,
  "space_group": "R3m (160)"
}

=====

# 6
{
  "formula": "AcPr2As",
  "functional": "PBE-GGA",
  "state": "optimized geometry",
  "lattice": [[4.0275, 0.0000, 0.0000], [-2.0138, 3.4880, 0.0000], [0.0000, 0.0000, 32.9148]],
  "species": ["Ac", "Ac", "Ac", "Pr", "Pr", "Pr", "Pr", "Pr", "Pr", "As", "As", "As"],
  "fractional_positions": [[0.0000, 0.0000, 0.0000], [0.3333, 0.6667, 0.6667], [0.6667, 0.3333, 0.3333], [0.0000, 0.0000, 0.1136], [0.0000, 0.0000, 0.8864], [0.3333, 0.6667, 0.5531], [0.3333, 0.6667, 0.7802], [0.6667, 0.3333, 0.2198], [0.6667, 0.3333, 0.4469], [0.0000, 0.0000, 0.5000], [0.3333, 0.6667, 0.1667], [0.6667, 0.3333, 0.8333]],
  "e_tot_ev_per_cell": -60.77,
  "formation_energy_mev_per_atom": -485,
  "space_group": "R-3m (166)"
}